[1]
A geometry-optimized InSi2N structure. Source: Alexandria, functional PBE-GGA.

- energy relative to the elements, uncorrected (eV per atom) = 0.29
- energy above the most stable polymorph in this dataset (eV/atom) = 0.000

Unit cell a=4.887 b=4.887 c=11.022 alpha=90.00 beta=90.00 gamma=90.00
Space group I-42d (No. 122)
One atom of each set of equivalent atoms:
In  0.000  0.000  0.000
Si  0.106  0.250  0.625
N  0.000  0.000  0.500

=====

[2]
A geometry-optimized ZrTa3 structure. Source: Alexandria, functional PBE-GGA.

- energy above the most stable polymorph in this dataset (eV/atom) = 0.142
- energy of formation (meV/atom) = 224

Unit cell a=5.764 b=9.669 c=2.795 alpha=90.00 beta=90.00 gamma=90.00
Space group Cmmm (No. 65)
One atom of each set of equivalent atoms:
Zr  0.000  0.000  0.000
Ta  0.000  0.500  0.000
Ta  0.250  0.250  0.500

=====

[3]
A geometry-optimized Li7CaMg3 structure. Source: Alexandria, functional PBE-GGA.

- energy of formation (meV/atom) = 44

Unit cell a=10.162 b=8.397 c=5.831 alpha=90.00 beta=92.86 gamma=90.00
Space group C2/m (No. 12)
One atom of each set of equivalent atoms:
Li  0.000  0.000  0.000
Li  0.235  0.500  0.174
Li  0.242  0.324  0.734
Ca  0.000  0.000  0.500
Mg  0.000  0.318  0.000
Mg  0.000  0.500  0.500

=====

Spin magnetization across the listed records, respectively: 0.000 0.000 0.000 μB/f.u..
Calculated total energy across the listed records, respectively: -5.1885 -10.8021 -1.7908 eV per atom.